Computed, not measured: a relaxed Ni2AsPb crystal at the PBE level of DFT.

Summary:
Its formation energy is 183 meV/atom.

abc: 3.916 5.376 6.644
angles: 90.00 90.00 90.00
Space group Immm (No. 71)
Inequivalent atoms, fractional coordinates:
Ni (0.000, 0.000, 0.195) (multiplicity 4)
As (0.000, 0.500, 0.500) (multiplicity 2)
Pb (0.000, 0.500, 0.000) (multiplicity 2)



Computed, not measured: a relaxed LaNi3Os crystal at the PBE level of DFT.

Summary:
Its formation energy is 399 meV/atom. Its relative energy among the computed polymorphs is 0.00 eV per formula unit.

abc: 4.592 4.592 4.592
angles: 90.00 90.00 90.00
Space group Pm-3m (No. 221)
Inequivalent atoms, fractional coordinates:
La (0.000, 0.000, 0.000) (multiplicity 1)
Ni (0.000, 0.500, 0.500) (multiplicity 3)
Os (0.500, 0.500, 0.500) (multiplicity 1)



Computed, not measured: a relaxed YBi5Pb2 crystal at the PBE level of DFT.

Summary:
Its formation energy is -142 meV/atom.

abc: 8.359 8.359 7.134
angles: 90.00 90.00 90.00
Space group I4/mmm (No. 139)
Inequivalent atoms, fractional coordinates:
Y (0.000, 0.000, 0.000) (multiplicity 2)
Bi (0.000, 0.000, 0.500) (multiplicity 2)
Bi (0.250, 0.250, 0.250) (multiplicity 8)
Pb (0.000, 0.500, 0.000) (multiplicity 4)



Computed, not measured: a relaxed TaV2CrS crystal at the PBE level of DFT.

Summary:
Its uncorrected formation energy is 0.171 eV per atom.

abc: 4.269 4.269 4.158
angles: 90.00 90.00 90.00
Space group P4/mmm (No. 123)
Inequivalent atoms, fractional coordinates:
Ta (0.000, 0.000, 0.000) (multiplicity 1)
V (0.000, 0.500, 0.500) (multiplicity 2)
Cr (0.500, 0.500, 0.000) (multiplicity 1)
S (0.500, 0.500, 0.500) (multiplicity 1)



Computed, not measured: a relaxed GaCoTc2H crystal at the PBE level of DFT.

Summary:
The total energy comes out at -33.78 eV/cell.

abc: 3.885 3.885 3.754
angles: 90.00 90.00 90.00
Space group P4/mmm (No. 123)
Inequivalent atoms, fractional coordinates:
Ga (0.000, 0.000, 0.000) (multiplicity 1)
Co (0.500, 0.500, 0.000) (multiplicity 1)
Tc (0.000, 0.500, 0.500) (multiplicity 2)
H (0.500, 0.500, 0.500) (multiplicity 1)



Computed, not measured: a relaxed TlBiRu2 crystal at the PBE level of DFT.

Summary:
Its formation energy is 496 meV/atom. Its relative energy among the computed polymorphs is 0.00 eV per formula unit.

abc: 6.675 6.675 6.675
angles: 90.00 90.00 90.00
Space group Fm-3m (No. 225)
Inequivalent atoms, fractional coordinates:
Tl (0.000, 0.000, 0.000) (multiplicity 4)
Bi (0.000, 0.000, 0.500) (multiplicity 4)
Ru (0.250, 0.250, 0.250) (multiplicity 8)



| no. | total magnetization (μB per cell) |
| --- | --- |
| 1 | 0.00 |
| 2 | 0.12 |
| 3 | 0.00 |
| 4 | 1.27 |
| 5 | 1.18 |
| 6 | 0.00 |